DFT (PBE-GGA) results for a geometry-optimized RbIn2Si2 structure.

Cell and atoms, written as POSCAR:
```
RbIn2Si2
1.0
-2.270 -2.577 -3.675
4.251 -2.558 -0.831
-0.487 -6.132 1.159
In Rb Si
2 1 2
direct
0.250 0.750 0.500
0.750 0.250 0.500
0.000 0.000 0.000
0.618 0.618 0.764
0.382 0.382 0.236
```

Output
- Fermi-level density of states (states/eV/cell) = 1.12



DFT (PBE-GGA) results for a geometry-optimized Rb2InSi2 structure.

Cell and atoms, written as POSCAR:
```
Rb2InSi2
1.0
-9.395 2.697 -1.532
-3.004 -6.694 6.638
0.280 2.453 2.601
Si In Rb
4 2 4
direct
0.420 0.920 0.000
0.580 0.080 0.000
0.920 0.580 0.000
0.080 0.420 0.000
0.000 0.000 0.000
0.500 0.500 0.000
0.292 0.208 0.500
0.208 0.708 0.500
0.708 0.792 0.500
0.792 0.292 0.500
```

Output
- Fermi-level density of states (states/eV/cell) = 6.75



DFT (PBE-GGA) results for a geometry-optimized Rb2InSi structure.

Cell and atoms, written as POSCAR:
```
Rb2InSi
1.0
0.000 4.258 4.258
4.258 0.000 4.258
4.258 4.258 0.000
Rb In Si
2 1 1
direct
0.750 0.750 0.750
0.250 0.250 0.250
0.500 0.500 0.500
0.000 0.000 0.000
```

Output
- Fermi-level density of states (states/eV/cell) = 2.14



DFT (PBE-GGA) results for a geometry-optimized RbInSi3 structure.

Cell and atoms, written as POSCAR:
```
RbInSi3
1.0
5.649 0.000 0.000
0.000 5.649 0.000
0.000 0.000 5.649
Si In Rb
3 1 1
direct
0.000 0.000 0.500
0.000 0.500 0.000
0.500 0.000 0.000
0.500 0.500 0.500
0.000 0.000 0.000
```

Output
- Fermi-level density of states (states/eV/cell) = 5.14



DFT (PBE-GGA) results for a geometry-optimized RbIn2Si2 structure.

Cell and atoms, written as POSCAR:
```
RbIn2Si2
1.0
4.808 0.000 0.000
0.000 4.808 0.000
2.404 2.404 5.792
Si In Rb
2 2 1
direct
0.250 0.750 0.500
0.750 0.250 0.500
0.373 0.373 0.254
0.627 0.627 0.746
0.000 0.000 0.000
```

Output
- Fermi-level density of states (states/eV/cell) = 1.65



DFT (PBE-GGA) results for a geometry-optimized RbIn2SiSn structure.

Cell and atoms, written as POSCAR:
```
RbIn2SiSn
1.0
5.953 0.000 0.000
0.000 5.273 0.000
0.000 0.000 5.953
In Rb Sn Si
2 1 1 1
direct
0.500 0.000 0.000
0.000 0.000 0.500
0.500 0.500 0.500
0.000 0.000 0.000
0.000 0.500 0.000
```

Output
- Fermi-level density of states (states/eV/cell) = 3.13



Number 1: size of the total moment 0.0 μB/f.u., formation energy (no corrections) 7.7 kJ per mole of atoms. Number 2: size of the total moment 0.0 μB/f.u., formation energy (no corrections) 39.9 kJ per mole of atoms. Number 3: size of the total moment 1.0 μB/f.u., formation energy (no corrections) 45.9 kJ per mole of atoms. Number 4: size of the total moment 0.0 μB/f.u., formation energy (no corrections) 195.3 kJ per mole of atoms. Number 5: size of the total moment 0.0 μB/f.u., formation energy (no corrections) 15.0 kJ per mole of atoms. Number 6: size of the total moment 0.0 μB/f.u., formation energy (no corrections) 41.0 kJ per mole of atoms.